[1]
Density functional theory data (SCAN) for MgW2Se at its PBEsol-relaxed geometry.

Cell lengths 2.9402, 2.9402, 26.4476 Å; angles 90.00, 90.00, 120.00 degrees
Closest atoms and distances in Å follow each position.
Space group R-3m (No. 166, hexagonal axes)
Inequivalent atoms, fractional coordinates:
Mg  0.0000  0.0000  0.0000 (multiplicity 3)  6 Mg 2.94, 6 W 2.96
W  0.0000  0.0000  0.2414 (multiplicity 6)  3 Se 2.61
Se  0.0000  0.0000  0.5000 (multiplicity 3)  6 W 2.61

Results
As for the energy relative to the lowest polymorph listed for this composition: 0.0 meV/atom. The calculated volume comes out at 198.0 Å³/cell.

=====

[2]
Density functional theory data (SCAN) for MgWSe2 at its PBEsol-relaxed geometry.

Cell lengths 3.5998, 3.5998, 12.0269 Å; angles 90.00, 90.00, 90.00 degrees
Closest atoms and distances in Å follow each position.
Space group I-4m2 (No. 119)
Inequivalent atoms, fractional coordinates:
Mg  0.0000  0.0000  0.0000 (multiplicity 2)  4 Se 2.55
W  0.0000  0.5000  0.7500 (multiplicity 2)  4 Se 2.55
Se  0.0000  0.0000  0.5000 (multiplicity 2)  4 Mg 2.55
Se  0.0000  0.5000  0.2500 (multiplicity 2)  4 W 2.55

Results
The calculated volume comes out at 155.9 Å³/cell.

=====

[3]
Density functional theory data (SCAN) for Mg2WSe at its PBEsol-relaxed geometry.

Cell lengths 5.3228, 8.6387, 3.0308 Å; angles 90.00, 90.00, 90.00 degrees
Closest atoms and distances in Å follow each position.
Space group Cmmm (No. 65)
Inequivalent atoms, fractional coordinates:
Mg  0.2500  0.2500  0.0000 (multiplicity 4)  2 Mg 2.66, 4 Se 2.95, 4 W 2.95
W  0.0000  0.0000  0.5000 (multiplicity 2)  2 Se 2.66, 8 Mg 2.95
Se  0.0000  0.5000  0.5000 (multiplicity 2)  2 W 2.66, 8 Mg 2.95

Results
The calculated volume comes out at 139.4 Å³/cell.

=====

The records above yield energy relative to the elements, uncorrected values of 0.593; 0.382; 0.357 eV/atom, respectively.